Material: Pm2CoIO8
Method: DFT, PBE with a Hubbard U
State: optimized geometry

Summary:
uncorrected energy	-6.35	eV per atom
SG	No. 2

Cell lengths 4.734, 4.946, 7.101 Å; angles 87.71, 89.83, 95.92 degrees
Each line ends with the local moment (μB).
Sites, in units of the cell vectors:
Pm (0.422, 0.472, 0.749)  0.02
Pm (0.578, 0.528, 0.251)  0.02
Co (0.000, 0.000, 0.500)  2.98
I (0.000, 0.000, 0.000)  0.00
O (0.124, 0.741, 0.183)  0.04
O (0.677, 0.756, 0.963)  0.01
O (0.815, 0.131, 0.218)  0.06
O (0.876, 0.259, 0.817)  0.04
O (0.323, 0.244, 0.037)  0.01
O (0.185, 0.869, 0.782)  0.06
O (0.723, 0.729, 0.527)  0.25
O (0.277, 0.271, 0.473)  0.25